(1)
Density functional theory data (PBE) for a geometry-optimized Tb12Sm6Al structure.

Properties
V ... 1831.3 Å³/cell

Cell lengths 11.8822, 11.8822, 14.9772 Å; angles 90.00, 90.00, 120.00 degrees
Space group R-3 (No. 148, hexagonal axes)
Inequivalent atoms, fractional coordinates:
Tb 0.0023 0.8298 0.3146 [18 per cell]
Tb 0.0469 0.1957 0.9153 [18 per cell]
Sm 0.0190 0.5918 0.1851 [18 per cell]
Al 0.0000 0.0000 0.5000 [3 per cell]

=====

(2)
Density functional theory data (PBE) for a geometry-optimized SrMgRu2 structure.

Properties
V ... 167.2 Å³/cell

Cell lengths 9.206, 3.024, 6.073 Å; angles 90.00, 98.39, 90.00 degrees
Space group C2/m (No. 12)
Inequivalent atoms, fractional coordinates:
Sr 0.000 0.000 0.000 [2 per cell]
Mg 0.000 0.500 0.500 [2 per cell]
Ru 0.240 0.000 0.665 [4 per cell]

=====

Number 1: total moment 0.0 μB/f.u., energy of formation from the pure elements 0.088 eV per atom, VASP energy -4.524 eV/atom. Number 2: total moment 0.7 μB/f.u., energy of formation from the pure elements 0.459 eV per atom, VASP energy -4.998 eV/atom.